# 1
Below is a relaxed structure of ScCu3S, with properties calculated at the PBE-GGA level.

```
data_ScCu3S
_cell_length_a 4.800
_cell_length_b 4.800
_cell_length_c 4.800
_cell_angle_alpha 90.00
_cell_angle_beta 90.00
_cell_angle_gamma 90.00
_space_group_name_H-M_alt 'P 1'
_space_group_IT_number 1
_space_group_name_Hall 'P 1'
loop_
_atom_site_label
_atom_site_type_symbol
_atom_site_fract_x
_atom_site_fract_y
_atom_site_fract_z
Sc1 Sc 0.000 0.000 0.000
S1 S 0.500 0.500 0.500
Cu1 Cu 0.000 0.500 0.000
Cu2 Cu 0.000 0.000 0.500
Cu3 Cu 0.500 0.000 0.000
```

Energy relative to the elements, uncorrected   1.33 eV per atom
Space-group type   Pm-3m (221)

# 2
Below is a relaxed structure of ZrSc5Ni4, with properties calculated at the PBE-GGA level.

```
data_ZrSc5Ni4
_cell_length_a 3.171
_cell_length_b 3.171
_cell_length_c 17.341
_cell_angle_alpha 90.00
_cell_angle_beta 90.00
_cell_angle_gamma 90.00
_space_group_name_H-M_alt 'P 1'
_space_group_IT_number 1
_space_group_name_Hall 'P 1'
loop_
_atom_site_label
_atom_site_type_symbol
_atom_site_fract_x
_atom_site_fract_y
_atom_site_fract_z
Zr1 Zr 0.000 0.000 0.000
Sc1 Sc 0.500 0.500 0.133
Sc2 Sc 0.500 0.500 0.316
Sc3 Sc 0.500 0.500 0.500
Sc4 Sc 0.500 0.500 0.684
Sc5 Sc 0.500 0.500 0.867
Ni1 Ni 0.000 0.000 0.226
Ni2 Ni 0.000 0.000 0.408
Ni3 Ni 0.000 0.000 0.592
Ni4 Ni 0.000 0.000 0.774
```

Space-group type   P4/mmm (123)
Formation energy from the elements   -396 meV/atom

| no. | volume (Å³/cell) | total magnetic moment (μB/f.u.) |
| --- | --- | --- |
| 1 | 110.6 | 0.00 |
| 2 | 174.4 | 0.00 |